VASP calculation (PBE-GGA) on Mg5Re after structural relaxation.

Unit cell a=5.470 b=5.470 c=5.470 alpha=60.00 beta=60.00 gamma=60.00
Positions (direct):
Mg (0.879, 0.374, 0.374)
Mg (0.750, 0.750, 0.750)
Mg (0.374, 0.879, 0.374)
Mg (0.374, 0.374, 0.374)
Mg (0.374, 0.374, 0.879)
Re (0.000, 0.000, 0.000)

Summary:
polymorph energy (0 for the lowest one) = 0.352 eV/atom
M_tot = 0.00 μB/f.u.
energy = -2.841 eV/atom